1.
Density functional theory data (GGA-PBE) for crystalline LiCd2Au2 at its relaxed geometry.

Computed properties:
mass density: 9.522 g/cm3
total energy: -2.185 eV per atom
relative energy among the computed polymorphs: 174 meV/atom
energy relative to the elements: -12.1 kJ/mol of atoms
symmetry: I4/mmm, No. 139

Cell lengths 3.963, 3.963, 7.490 Å; angles 74.66, 74.66, 90.00 degrees
Positions (direct):
Au 0.750 0.250 0.500
Au 0.250 0.750 0.500
Li 0.000 0.000 0.000
Cd 0.600 0.600 0.800
Cd 0.400 0.400 0.200

2.
Density functional theory data (GGA-PBE) for crystalline CuTe6Pd at its relaxed geometry.

Computed properties:
mass density: 7.496 g/cm3
total energy: -3.543 eV per atom
formation energy (no corrections): -26 meV per atom
symmetry: P-1, No. 2

Cell lengths 6.738, 6.752, 6.557 Å; angles 58.60, 59.02, 60.16 degrees
Positions (direct):
Te 0.751 0.046 0.752
Te 0.448 0.753 0.749
Te 0.046 0.451 0.746
Te 0.954 0.549 0.254
Te 0.552 0.247 0.251
Te 0.249 0.954 0.248
Cu 0.000 0.000 0.000
Pd 0.500 0.500 0.500

3.
Density functional theory data (GGA-PBE) for crystalline CuRe2Ru2 at its relaxed geometry.

Computed properties:
mass density: 13.651 g/cm3
total energy: -9.166 eV per atom
energy relative to the elements: 33.1 kJ/mol of atoms
symmetry: P4/mbm, No. 127

Cell lengths 7.537, 7.537, 2.732 Å; angles 90.00, 90.00, 90.00 degrees
Positions (direct):
Ru 0.168 0.668 0.500
Ru 0.332 0.168 0.500
Ru 0.668 0.832 0.500
Ru 0.832 0.332 0.500
Cu 0.000 0.000 0.000
Cu 0.500 0.500 0.000
Re 0.877 0.623 0.000
Re 0.623 0.123 0.000
Re 0.377 0.877 0.000
Re 0.123 0.377 0.000

4.
Density functional theory data (GGA-PBE) for crystalline NdPu2N4 at its relaxed geometry.

Computed properties:
mass density: 11.030 g/cm3
total energy: -10.717 eV per atom
formation energy (no corrections): -1184 meV per atom
symmetry: Cmcm, No. 63

Cell lengths 3.444, 5.942, 10.582 Å; angles 90.00, 90.00, 106.84 degrees
Site moments in Bohr magnetons follow the coordinates.
Positions (direct):
N 0.500 0.000 0.500  -0.22
N 0.229 0.458 0.604  -0.22
N 0.771 0.542 0.396  -0.22
N 0.771 0.542 0.104  -0.22
N 0.500 0.000 0.000  -0.22
N 0.955 0.911 0.750  -0.19
N 0.045 0.089 0.250  -0.19
N 0.229 0.458 0.896  -0.22
Nd 0.607 0.213 0.750  0.04
Nd 0.393 0.787 0.250  0.04
Pu 0.132 0.265 0.431  3.87
Pu 0.868 0.735 0.569  3.87
Pu 0.868 0.735 0.931  3.87
Pu 0.132 0.265 0.069  3.87

5.
Density functional theory data (GGA-PBE) for crystalline CaEr2Zn at its relaxed geometry.

Computed properties:
mass density: 6.289 g/cm3
total energy: -3.205 eV per atom
relative energy among the computed polymorphs: 0 meV/atom
energy relative to the elements: -10.1 kJ/mol of atoms
symmetry: P4/mmm, No. 123

Cell lengths 3.590, 3.590, 9.015 Å; angles 90.00, 90.00, 90.00 degrees
Positions (direct):
Zn 0.500 0.500 0.000
Ca 0.500 0.500 0.500
Er 0.000 0.000 0.186
Er 0.000 0.000 0.814

6.
Density functional theory data (GGA-PBE) for crystalline KSnPb4 at its relaxed geometry.

Computed properties:
mass density: 8.057 g/cm3
total energy: -3.344 eV per atom
relative energy among the computed polymorphs: 0 meV/atom
energy relative to the elements: -2.1 kJ/mol of atoms
symmetry: C2/c, No. 15

Cell lengths 6.115, 6.084, 11.739 Å; angles 104.81, 105.10, 90.00 degrees
Positions (direct):
Pb 0.599 0.576 0.651
Pb 0.401 0.424 0.349
Pb 0.948 0.924 0.349
Pb 0.610 0.143 0.789
Pb 0.390 0.857 0.211
Pb 0.821 0.357 0.211
Pb 0.179 0.643 0.789
Pb 0.052 0.076 0.651
Sn 0.000 0.500 0.500
Sn 0.500 0.000 0.500
K 0.227 0.250 0.000
K 0.773 0.750 0.000

7.
Density functional theory data (GGA-PBE) for crystalline Cu2TeW at its relaxed geometry.

Computed properties:
mass density: 11.562 g/cm3
total energy: -5.405 eV per atom
formation energy (no corrections): 667 meV per atom
symmetry: P4/mmm, No. 123

Cell lengths 3.866, 4.036, 4.036 Å; angles 90.00, 90.00, 90.00 degrees
Positions (direct):
Te 0.500 0.500 0.000
Cu 0.000 0.500 0.500
Cu 0.000 0.000 0.000
W 0.500 0.000 0.500

8.
Density functional theory data (GGA-PBE) for crystalline BaMg2Ni at its relaxed geometry.

Computed properties:
mass density: 3.962 g/cm3
total energy: -2.635 eV per atom
energy relative to the elements: 8.5 kJ/mol of atoms
symmetry: C2/m, No. 12

Cell lengths 6.449, 6.449, 5.458 Å; angles 64.51, 64.51, 30.31 degrees
Positions (direct):
Mg 0.560 0.560 0.442
Mg 0.940 0.940 0.058
Ni 0.250 0.250 0.250
Ba 0.750 0.750 0.750